DFT (PBE) results for a geometry-optimized PaZn4Hg structure.

Values from the calculation:
size of the total moment: 0.08 μB/atom
E_form: 0.1004 eV per atom
N(E_F): 5.94 states/eV/f.u.

Cell and atoms, written as extended XYZ:
```
6
Lattice="-3.8414 -3.5550 1.4720 1.0129 -3.6291 3.9198 -2.4329 0.4749 4.8391" Properties=species:S:1:pos:R:3 pbc="T T T"
Zn -2.0762 -4.4226 3.9834
Zn -3.7860 -2.3861 4.4395
Zn -3.2834 -4.1870 6.3846
Zn -1.3773 -2.4229 5.6542
Pa -1.3154 -1.6773 2.5577
Hg 0.0000 0.0000 0.0000
```